# TaTi3F

A relaxed TaTi3F crystal (PBE, the Alexandria database).

The space group is Pm-3m (No. 221) and the conventional cell measures 4.8993, 4.8993 and 4.8993 Å, with angles of 90.00, 90.00 and 90.00 degrees. The asymmetric unit holds Ta at (0.0000, 0.0000, 0.0000), Ti at (0.0000, 0.0000, 0.5000) and F at (0.5000, 0.5000, 0.5000).

The total energy is -32.51 eV/f.u.

# TaTlF2

A relaxed TaTlF2 crystal (PBE, the Alexandria database).

The space group is Fm-3m (No. 225) and the conventional cell measures 6.2843, 6.2843 and 6.2843 Å, with angles of 90.00, 90.00 and 90.00 degrees. The asymmetric unit holds Ta at (0.0000, 0.0000, 0.0000), Tl at (0.0000, 0.0000, 0.5000) and F at (0.2500, 0.2500, 0.2500).

The total energy is -19.25 eV/f.u.

# TaTlF6

A relaxed TaTlF6 crystal (PBE, the Alexandria database).

The space group is Fm-3m (No. 225) and the conventional cell measures 9.5187, 9.5187 and 9.5187 Å, with angles of 90.00, 90.00 and 90.00 degrees. The asymmetric unit holds Ta at (0.0000, 0.0000, 0.0000), Tl at (0.0000, 0.0000, 0.5000) and F at (0.0000, 0.0000, 0.2026).

The total energy is -49.52 eV/f.u.

# TaTl3F

A relaxed TaTl3F crystal (PBE, the Alexandria database).

The space group is Pm-3m (No. 221) and the conventional cell measures 4.8878, 4.8878 and 4.8878 Å, with angles of 90.00, 90.00 and 90.00 degrees. The asymmetric unit holds Ta at (0.0000, 0.0000, 0.0000), Tl at (0.0000, 0.5000, 0.5000) and F at (0.5000, 0.5000, 0.5000).

The total energy is -19.47 eV/f.u.

What did the first record say?
# TaTi3F

A relaxed TaTi3F crystal (PBE, the Alexandria database).

The space group is Pm-3m (No. 221) and the conventional cell measures 4.8993, 4.8993 and 4.8993 Å, with angles of 90.00, 90.00 and 90.00 degrees. The asymmetric unit holds Ta at (0.0000, 0.0000, 0.0000), Ti at (0.0000, 0.0000, 0.5000) and F at (0.5000, 0.5000, 0.5000).

The total energy is -32.51 eV/f.u.